# MgZr2Cd | Alexandria | PBE | optimized geometry
# Energy relative to the elements = -0.4 eV/f.u.
data_MgZr2Cd
_chemical_formula_sum 'Mg1 Zr2 Cd1'
_cell_length_a 3.149
_cell_length_b 3.149
_cell_length_c 8.969
_cell_angle_alpha 90.00
_cell_angle_beta 90.00
_cell_angle_gamma 90.00
_symmetry_space_group_name_H-M 'P 4 m m'
_symmetry_Int_Tables_number 99
loop_
_symmetry_equiv_pos_as_xyz
'x,y,z'
'-y,x,z'
'-x,-y,z'
'y,-x,z'
'-x,y,z'
'y,x,z'
'x,-y,z'
'-y,-x,z'
loop_
_atom_site_label
_atom_site_type_symbol
_atom_site_fract_x
_atom_site_fract_y
_atom_site_fract_z
_atom_site_occupancy
Mg1 Mg 0.000 0.000 0.000 1
Zr1 Zr 0.000 0.000 0.516 1
Zr2 Zr 0.500 0.500 0.263 1
Cd1 Cd 0.500 0.500 0.769 1



# SmGdPb | Alexandria | PBE | optimized geometry
# Distance to the lowest polymorph of the same formula = 115 meV/atom
# Energy relative to the elements = -0.7 eV/f.u.
data_SmGdPb
_chemical_formula_sum 'Sm1 Gd1 Pb1'
_cell_length_a 5.3413
_cell_length_b 5.3413
_cell_length_c 3.7841
_cell_angle_alpha 90.00
_cell_angle_beta 90.00
_cell_angle_gamma 120.00
_symmetry_space_group_name_H-M 'P 3 m 1'
_symmetry_Int_Tables_number 156
loop_
_symmetry_equiv_pos_as_xyz
'x,y,z'
'-y,x-y,z'
'-x+y,-x,z'
'-y,-x,z'
'-x+y,y,z'
'x,x-y,z'
loop_
_atom_site_label
_atom_site_type_symbol
_atom_site_fract_x
_atom_site_fract_y
_atom_site_fract_z
_atom_site_occupancy
Sm1 Sm 0.0000 0.0000 0.0000 1
Gd1 Gd 0.3333 0.6667 0.4516 1
Pb1 Pb 0.6667 0.3333 0.7115 1



# RbNp3P4N12 | Alexandria | PBE | optimized geometry
# Formation energy without anion corrections = -459.9 meV/atom
data_RbNp3P4N12
_chemical_formula_sum 'Rb3 Np9 P12 N36'
_cell_length_a 10.8564
_cell_length_b 10.8564
_cell_length_c 9.0402
_cell_angle_alpha 90.00
_cell_angle_beta 90.00
_cell_angle_gamma 120.00
_symmetry_space_group_name_H-M 'R 3 2'
_symmetry_Int_Tables_number 155
_symmetry_space_group_name_Hall 'R 3 2"'
loop_
_atom_site_label
_atom_site_type_symbol
_atom_site_fract_x
_atom_site_fract_y
_atom_site_fract_z
_atom_site_occupancy
Rb1 Rb 0.0000 0.0000 0.0000 1
Np1 Np 0.0000 0.5548 0.0000 1
P1 P 0.0000 0.0000 0.5000 1
P2 P 0.0000 0.4431 0.5000 1
N1 N 0.0000 0.5906 0.5000 1
N2 N 0.0000 0.8534 0.5000 1
N3 N 0.0310 0.2234 0.2074 1



# NiOsRh3 | Alexandria | PBE | optimized geometry
# Distance to the lowest polymorph of the same formula = 1173 meV/atom
# Energy relative to the elements = 7.8 eV/f.u.
data_NiOsRh3
_chemical_formula_sum 'Ni1 Os1 Rh3'
_cell_length_a 4.373
_cell_length_b 4.373
_cell_length_c 4.373
_cell_angle_alpha 90.00
_cell_angle_beta 90.00
_cell_angle_gamma 90.00
_symmetry_space_group_name_H-M 'P m -3 m'
_symmetry_Int_Tables_number 221
_symmetry_space_group_name_Hall '-P 4 2 3'
loop_
_atom_site_label
_atom_site_type_symbol
_atom_site_fract_x
_atom_site_fract_y
_atom_site_fract_z
_atom_site_occupancy
Ni1 Ni 0.000 0.000 0.000 1
Os1 Os 0.500 0.500 0.500 1
Rh1 Rh 0.000 0.000 0.500 1



# CsTiMnCo2 | Alexandria | PBE | optimized geometry
# Energy relative to the elements = 10.5 eV/f.u.
data_CsTiMnCo2
_chemical_formula_sum 'Cs1 Ti1 Mn1 Co2'
_cell_length_a 4.384
_cell_length_b 4.384
_cell_length_c 5.554
_cell_angle_alpha 90.00
_cell_angle_beta 90.00
_cell_angle_gamma 90.00
_symmetry_space_group_name_H-M 'P 4/m m m'
_symmetry_Int_Tables_number 123
_symmetry_space_group_name_Hall '-P 4 2'
loop_
_atom_site_label
_atom_site_type_symbol
_atom_site_fract_x
_atom_site_fract_y
_atom_site_fract_z
_atom_site_occupancy
Cs1 Cs 0.000 0.000 0.000 1
Ti1 Ti 0.000 0.000 0.500 1
Mn1 Mn 0.500 0.500 0.000 1
Co1 Co 0.000 0.500 0.500 1



# CeDy8Bi6 | Alexandria | PBE | optimized geometry
# Energy relative to the elements = -7.4 eV/f.u.
data_CeDy8Bi6
_chemical_formula_sum 'Ce3 Dy24 Bi18'
_cell_length_a 8.2166
_cell_length_b 8.2166
_cell_length_c 25.3423
_cell_angle_alpha 90.00
_cell_angle_beta 90.00
_cell_angle_gamma 120.00
_symmetry_space_group_name_H-M 'R -3'
_symmetry_Int_Tables_number 148
_symmetry_space_group_name_Hall '-R 3'
loop_
_atom_site_label
_atom_site_type_symbol
_atom_site_fract_x
_atom_site_fract_y
_atom_site_fract_z
_atom_site_occupancy
Ce1 Ce 0.0000 0.0000 0.0000 1
Dy1 Dy 0.0000 0.0000 0.3338 1
Dy2 Dy 0.0042 0.3267 0.1229 1
Bi1 Bi 0.0029 0.3437 0.9319 1